# PBE-GGA ReOsPt3, relaxed
data_ReOsPt3
_chemical_formula_sum 'Re1 Os1 Pt3'
_cell_length_a 4.758
_cell_length_b 4.758
_cell_length_c 4.758
_cell_angle_alpha 90.00
_cell_angle_beta 90.00
_cell_angle_gamma 90.00
_symmetry_space_group_name_H-M 'P 1'
_symmetry_Int_Tables_number 1
_symmetry_space_group_name_Hall 'P 1'
loop_
_atom_site_label
_atom_site_type_symbol
_atom_site_fract_x
_atom_site_fract_y
_atom_site_fract_z
Pt1 Pt 0.000 0.000 0.500
Re1 Re 0.000 0.000 0.000
Pt2 Pt 0.500 0.000 0.000
Os1 Os 0.500 0.500 0.500
Pt3 Pt 0.000 0.500 0.000
# Density = 14824 kg/m³
# DOS(E_F) = 1.351 states/eV/atom
# M_tot = 2.259 μB per formula unit
# Calculated total energy = -6.329 eV per atom
# Space-group type = Pm-3m, No. 221
# Formation energy from the elements = 2031 meV per atom
# Crystal system = cubic